(1)
SrIn2Ru | GGA-PBE | optimized geometry

Values from the calculation:
**Space-group type**: I-42d (122)
**DFT total energy**: -30.87 eV per cell
**Formation enthalpy at 0 K**: 0.25 eV/atom
**D(E_F)**: 3.387 states/eV/cell

Structure (extended XYZ):
```
8
Lattice="-2.500 3.179 3.712 -4.744 -0.576 -2.701 -5.496 -5.780 5.307" Properties=species:S:1:pos:R:3 pbc="T T T"
Sr -3.622 1.301 0.505
Sr -6.931 -2.528 1.555
Ru -5.809 -0.650 4.762
Ru 0.000 0.000 0.000
In -6.693 1.188 3.134
In -6.585 -1.587 7.071
In -3.987 1.052 3.989
In -5.969 -3.254 4.854
```



(2)
NbSbMo2 | GGA-PBE | optimized geometry

Values from the calculation:
**Space-group type**: I-42d (122)
**DFT total energy**: -66.76 eV per cell
**Formation energy without anion corrections**: 0.6191 eV per atom
**D(E_F)**: 7.875 states/eV/cell

Structure (extended XYZ):
```
8
Lattice="-3.178 -0.756 2.242 -2.083 -0.887 -3.252 0.165 -10.253 0.276" Properties=species:S:1:pos:R:3 pbc="T T T"
Sb -2.822 -5.916 1.007
Sb 0.000 0.000 0.000
Mo -4.567 -9.165 -0.812
Mo -1.762 -8.269 -0.035
Mo -1.525 -3.180 -1.777
Mo -2.338 -3.178 1.158
Nb -2.631 -0.822 -0.505
Nb -2.274 -5.981 -1.740
```



(3)
SrTb2Se4 | GGA-PBE | optimized geometry

Values from the calculation:
**Space-group type**: Pnma (62)
**DFT total energy**: -154.30 eV per cell
**Formation energy without anion corrections**: -1.9565 eV per atom

Structure (extended XYZ):
```
28
Lattice="-3.156 -0.118 2.726 -2.229 -12.067 -3.105 9.494 -4.532 10.796" Properties=species:S:1:pos:R:3 pbc="T T T"
Se -1.823 -1.522 2.612
Se 5.931 -15.195 7.805
Se 3.786 -7.605 5.650
Se 4.022 -9.361 9.040
Se -2.484 -10.462 1.460
Se 0.158 -12.707 4.421
Se 0.069 -5.116 4.648
Se 6.592 -6.255 8.957
Se 0.322 -9.112 4.767
Se 3.950 -4.010 5.996
Se -2.906 -4.678 1.221
Se 7.014 -12.039 9.196
Se 0.086 -7.356 1.377
Se 4.039 -11.601 5.769
Se 1.851 -1.633 3.669
Se 2.257 -15.084 6.748
Sr 3.408 -6.006 8.474
Sr 0.700 -10.711 1.943
Sr 0.197 -3.906 1.656
Sr 3.911 -12.811 8.761
Tb 5.935 -4.898 11.449
Tb -1.827 -11.819 -1.032
Tb 2.847 -13.813 4.294
Tb 1.261 -2.904 6.123
Tb 1.939 -7.051 3.535
Tb 6.839 -9.153 9.118
Tb -2.731 -7.564 1.299
Tb 2.169 -9.666 6.882
```



(4)
SrLiCaTl | GGA-PBE | optimized geometry

Values from the calculation:
**Space-group type**: F-43m (216)
**DFT total energy**: -8.99 eV per cell
**Formation enthalpy at 0 K**: -0.26 eV/atom
**D(E_F)**: 4.280 states/eV/cell

Structure (extended XYZ):
```
4
Lattice="5.638 0.000 0.000 2.819 4.883 0.000 2.819 1.628 4.604" Properties=species:S:1:pos:R:3 pbc="T T T"
Ca 8.457 4.883 3.453
Tl 5.638 3.255 2.302
Li 0.000 0.000 0.000
Sr 2.819 1.628 1.151
```